# GGA-PBE Ca3Pa2TaAs6, optimized geometry
# E: -6.39 eV per atom
# magnetic moment: 0.18 μB/f.u.
# Fermi-level density of states: 0.851 states/eV/atom
data_Ca3Pa2TaAs6
_symmetry_space_group_name_H-M 'C 1 2/m 1'
_symmetry_Int_Tables_number 12
_cell_length_a 6.9965
_cell_length_b 12.1361
_cell_length_c 7.2402
_cell_angle_alpha 90.00
_cell_angle_beta 108.97
_cell_angle_gamma 90.00
loop_
_symmetry_equiv_pos_as_xyz
'x,y,z'
'-x,-y,-z'
'-x,y,-z'
'x,-y,z'
'x+1/2,y+1/2,z'
'-x+1/2,-y+1/2,-z'
'-x+1/2,y+1/2,-z'
'x+1/2,-y+1/2,z'
loop_
_atom_site_label
_atom_site_type_symbol
_atom_site_fract_x
_atom_site_fract_y
_atom_site_fract_z
Ca1 Ca 0.0000 0.0000 0.0000
Ca2 Ca 0.0000 0.3288 0.0000
Pa1 Pa 0.0000 0.1657 0.5000
Ta1 Ta 0.0000 0.5000 0.5000
As1 As 0.2353 0.3403 0.7282
As2 As 0.2409 0.5000 0.2686



# GGA-PBE SnPtW2, optimized geometry
# E: -7.48 eV per atom
# magnetic moment: 0.00 μB/f.u.
# Fermi-level density of states: 0.724 states/eV/atom
data_SnPtW2
_symmetry_space_group_name_H-M 'I -4 2 d'
_symmetry_Int_Tables_number 122
_symmetry_space_group_name_Hall 'I -4 2bw'
_cell_length_a 6.1289
_cell_length_b 6.1289
_cell_length_c 11.1136
_cell_angle_alpha 90.00
_cell_angle_beta 90.00
_cell_angle_gamma 90.00
loop_
_atom_site_label
_atom_site_type_symbol
_atom_site_fract_x
_atom_site_fract_y
_atom_site_fract_z
Sn1 Sn 0.0000 0.0000 0.0000
Pt1 Pt 0.0000 0.0000 0.5000
W1 W 0.2131 0.2500 0.6250



# GGA-PBE YTi2Mo, optimized geometry
# E: -7.91 eV per atom
# magnetic moment: 0.00 μB/f.u.
# Fermi-level density of states: 1.711 states/eV/atom
data_YTi2Mo
_symmetry_space_group_name_H-M 'R -3 m'
_symmetry_Int_Tables_number 166
_symmetry_space_group_name_Hall '-R 3 2"'
_cell_length_a 3.1027
_cell_length_b 3.1027
_cell_length_c 29.8749
_cell_angle_alpha 90.00
_cell_angle_beta 90.00
_cell_angle_gamma 120.00
loop_
_atom_site_label
_atom_site_type_symbol
_atom_site_fract_x
_atom_site_fract_y
_atom_site_fract_z
Y1 Y 0.0000 0.0000 0.0000
Ti1 Ti 0.0000 0.0000 0.1021
Mo1 Mo 0.0000 0.0000 0.5000



# GGA-PBE KSr2Cu, optimized geometry
# E: -1.82 eV per atom
# magnetic moment: 0.00 μB/f.u.
# Fermi-level density of states: 1.059 states/eV/atom
data_KSr2Cu
_symmetry_space_group_name_H-M 'F m -3 m'
_symmetry_Int_Tables_number 225
_symmetry_space_group_name_Hall '-F 4 2 3'
_cell_length_a 8.5775
_cell_length_b 8.5775
_cell_length_c 8.5775
_cell_angle_alpha 90.00
_cell_angle_beta 90.00
_cell_angle_gamma 90.00
loop_
_atom_site_label
_atom_site_type_symbol
_atom_site_fract_x
_atom_site_fract_y
_atom_site_fract_z
K1 K 0.0000 0.0000 0.0000
Sr1 Sr 0.2500 0.2500 0.2500
Cu1 Cu 0.0000 0.0000 0.5000



# GGA-PBE Re2PdPtO, optimized geometry
# magnetic moment: 1.22 μB/f.u.
# ΔE_f (raw): 0.413 eV per atom
# Fermi-level density of states: 1.216 states/eV/atom
data_Re2PdPtO
_symmetry_space_group_name_H-M 'P 4/m m m'
_symmetry_Int_Tables_number 123
_symmetry_space_group_name_Hall '-P 4 2'
_cell_length_a 4.0228
_cell_length_b 4.0228
_cell_length_c 4.3562
_cell_angle_alpha 90.00
_cell_angle_beta 90.00
_cell_angle_gamma 90.00
loop_
_atom_site_label
_atom_site_type_symbol
_atom_site_fract_x
_atom_site_fract_y
_atom_site_fract_z
Re1 Re 0.0000 0.5000 0.0000
Pd1 Pd 0.0000 0.0000 0.5000
Pt1 Pt 0.5000 0.5000 0.5000
O1 O 0.0000 0.0000 0.0000



# GGA-PBE CsCoPb2, optimized geometry
# E: -3.65 eV per atom
# magnetic moment: 0.00 μB/f.u.
# Fermi-level density of states: 0.000 states/eV/atom
data_CsCoPb2
_symmetry_space_group_name_H-M 'I 41/a m d'
_symmetry_Int_Tables_number 141
_cell_length_a 7.4157
_cell_length_b 7.4157
_cell_length_c 12.5213
_cell_angle_alpha 90.00
_cell_angle_beta 90.00
_cell_angle_gamma 90.00
loop_
_symmetry_equiv_pos_as_xyz
'x,y,z'
'-x,-y,-z'
'-y+1/4,x+3/4,z+1/4'
'y+1/4,-x+3/4,-z+1/4'
'-x+1/2,-y,z+1/2'
'x+1/2,y,-z+1/2'
'y+1/4,-x+1/4,z+3/4'
'-y+1/4,x+1/4,-z+3/4'
'x,-y,-z'
'-x,y,z'
'-y+1/4,-x+1/4,-z+3/4'
'y+1/4,x+1/4,z+3/4'
'-x+1/2,y,-z+1/2'
'x+1/2,-y,z+1/2'
'y+1/4,x+3/4,-z+1/4'
'-y+1/4,-x+3/4,z+1/4'
'x+1/2,y+1/2,z+1/2'
'-x+1/2,-y+1/2,-z+1/2'
'-y+3/4,x+1/4,z+3/4'
'y+3/4,-x+1/4,-z+3/4'
'-x,-y+1/2,z'
'x,y+1/2,-z'
'y+3/4,-x+3/4,z+1/4'
'-y+3/4,x+3/4,-z+1/4'
'x+1/2,-y+1/2,-z+1/2'
'-x+1/2,y+1/2,z+1/2'
'-y+3/4,-x+3/4,-z+1/4'
'y+3/4,x+3/4,z+1/4'
'-x,y+1/2,-z'
'x,-y+1/2,z'
'y+3/4,x+1/4,-z+3/4'
'-y+3/4,-x+1/4,z+3/4'
loop_
_atom_site_label
_atom_site_type_symbol
_atom_site_fract_x
_atom_site_fract_y
_atom_site_fract_z
Cs1 Cs 0.0000 0.2500 0.3750
Co1 Co 0.0000 0.2500 0.8750
Pb1 Pb 0.0000 0.0000 0.0000



# GGA-PBE Dy2GeBi, optimized geometry
# E: -5.19 eV per atom
# magnetic moment: 0.00 μB/f.u.
# Fermi-level density of states: 0.450 states/eV/atom
data_Dy2GeBi
_symmetry_space_group_name_H-M 'R -3 m'
_symmetry_Int_Tables_number 166
_symmetry_space_group_name_Hall '-R 3 2"'
_cell_length_a 4.1901
_cell_length_b 4.1901
_cell_length_c 22.3123
_cell_angle_alpha 90.00
_cell_angle_beta 90.00
_cell_angle_gamma 120.00
loop_
_atom_site_label
_atom_site_type_symbol
_atom_site_fract_x
_atom_site_fract_y
_atom_site_fract_z
Dy1 Dy 0.0000 0.0000 0.2402
Ge1 Ge 0.0000 0.0000 0.5000
Bi1 Bi 0.0000 0.0000 0.0000



# GGA-PBE Zn2InGa, optimized geometry
# E: -1.96 eV per atom
# magnetic moment: 0.00 μB/f.u.
# Fermi-level density of states: 0.381 states/eV/atom
data_Zn2InGa
_symmetry_space_group_name_H-M 'I -4 2 d'
_symmetry_Int_Tables_number 122
_symmetry_space_group_name_Hall 'I -4 2bw'
_cell_length_a 4.3246
_cell_length_b 4.3246
_cell_length_c 17.5562
_cell_angle_alpha 90.00
_cell_angle_beta 90.00
_cell_angle_gamma 90.00
loop_
_atom_site_label
_atom_site_type_symbol
_atom_site_fract_x
_atom_site_fract_y
_atom_site_fract_z
Zn1 Zn 0.2081 0.2500 0.1250
In1 In 0.0000 0.0000 0.5000
Ga1 Ga 0.0000 0.0000 0.0000